LiMg | PBEsol | optimized geometry

Results
ΔE_f   -9 kJ/mol of formula units
E   -1.89 eV per atom
Density of states at the Fermi level   0.8 states/eV/f.u.

a = 4.205 Å, b = 4.205 Å, c = 9.116 Å
α = 90.00°, β = 90.00°, γ = 90.00°
Space group I4_1/amd (No. 141, origin choice 2)
Symmetry-distinct sites (fractional):
Li  0.000  0.250  0.375 x4
Mg  0.000  0.250  0.875 x4